First-principles (PBE) data for a relaxed LaPm11 crystal, as listed in the Alexandria database.

Computed properties:
Total energy   -56.8 eV per formula unit
Energy of formation   0.03 eV/atom
Density of states at the Fermi level   14.76 states/eV per cell
Calculated density   6.9 g/cm3

Cell: 11.5855 11.5855 3.5836 Å, 90.00 90.00 120.00°
Positions (direct):
La 0.0000 0.0000 0.0000
Pm 0.0000 0.5000 0.0000
Pm 0.1753 0.3505 0.5000
Pm 0.1753 0.8247 0.5000
Pm 0.3333 0.6667 0.0000
Pm 0.3505 0.1753 0.5000
Pm 0.5000 0.0000 0.0000
Pm 0.5000 0.5000 0.0000
Pm 0.6495 0.8247 0.5000
Pm 0.6667 0.3333 0.0000
Pm 0.8247 0.1753 0.5000
Pm 0.8247 0.6495 0.5000



First-principles (PBE) data for a relaxed LiTcO2 crystal, as listed in the Alexandria database.

Computed properties:
Total energy   -27.2 eV per formula unit
ΔE_f (raw)   -478 kJ/mol of formula units
Density of states at the Fermi level   1.84 states/eV per cell
Energy relative to the lowest polymorph listed for this composition   0.72 eV per formula unit
Calculated density   6.1 g/cm3

Cell: 5.7871 5.7871 5.7871 Å, 27.85 27.85 27.85°
Positions (direct):
Li 0.0000 0.0000 0.0000
Tc 0.1703 0.1703 0.1703
O 0.4223 0.4223 0.4223
O 0.5956 0.5956 0.5956



First-principles (PBE) data for a relaxed Ba6Pd2AuI2 crystal, as listed in the Alexandria database.

Computed properties:
Total energy   -37.5 eV per formula unit
ΔE_f (raw)   -891 kJ/mol of formula units
Density of states at the Fermi level   7.34 states/eV per cell
Calculated density   4.9 g/cm3

Cell: 8.1494 8.1494 9.1812 Å, 98.45 98.45 120.16°
Positions (direct):
Ba 0.0905 0.4358 0.7978
Ba 0.2269 0.2269 0.2000
Ba 0.4358 0.0905 0.7978
Ba 0.5642 0.9095 0.2022
Ba 0.7731 0.7731 0.8000
Ba 0.9095 0.5642 0.2022
Pd 0.1686 0.8314 0.0000
Pd 0.8314 0.1686 0.0000
Au 0.5000 0.5000 0.0000
I 0.3356 0.6644 0.5000
I 0.6644 0.3356 0.5000



First-principles (PBE) data for a relaxed PuU2Te5 crystal, as listed in the Alexandria database.

Computed properties:
Total energy   -52.1 eV per formula unit
ΔE_f (raw)   54 kJ/mol of formula units
Density of states at the Fermi level   17.92 states/eV per cell
Calculated density   7.7 g/cm3

Cell: 7.4397 7.4397 5.3225 Å, 90.00 90.00 90.00°
Positions (direct):
Pu 0.0000 0.0000 0.0000
U 0.0000 0.5000 0.5000
U 0.5000 0.0000 0.5000
Te 0.0000 0.0000 0.5000
Te 0.2778 0.2778 0.0000
Te 0.2778 0.7222 0.0000
Te 0.7222 0.2778 0.0000
Te 0.7222 0.7222 0.0000